(1)
Tb2Zn2Se after structural relaxation, computed with PBE.

a b c (Å): 4.1357 4.1357 7.9382
angles (deg): 104.90 104.90 60.48
Last column: nearest neighbours and their distance in Å.
Sites, in units of the cell vectors:
Tb1 0.0920 0.0920 0.2760  3 Se 2.93-2.94, 6 Zn 3.08-3.28
Tb2 0.9080 0.9080 0.7240  3 Se 2.93-2.94, 6 Zn 3.08-3.28
Zn1 0.3266 0.3266 0.9819  3 Zn 2.41
Zn2 0.6734 0.6734 0.0181  3 Zn 2.41
Se1 0.5000 0.5000 0.5000  6 Tb 2.93-2.94

Computed properties:
Uncorrected formation energy in eV/atom: -0.9170
Density of states at the Fermi level in states/eV/cell: 4.71

(2)
CaMnSe after structural relaxation, computed with PBE.

a b c (Å): 5.8796 5.8796 4.0065
angles (deg): 109.53 109.53 70.46
Last column: nearest neighbours and their distance in Å.
Sites, in units of the cell vectors:
Ca1 0.1656 0.1656 0.4168  4 Se 2.82-2.86
Ca2 0.8344 0.8344 0.5832  4 Se 2.82-2.86
Mn1 0.5749 0.3016 0.1812  2 Mn 2.22-2.33, 1 Se 2.47
Mn2 0.6984 0.4251 0.8188  2 Mn 2.22-2.33, 1 Se 2.47
Se1 0.1314 0.5316 0.0809  2 Mn 2.47-2.61
Se2 0.4684 0.8686 0.9191  2 Mn 2.47-2.61

Computed properties:
Uncorrected formation energy in eV/atom: -0.5052
Distance to the lowest polymorph of the same formula in eV/atom: 0.269
Density of states at the Fermi level in states/eV/cell: 5.63

(3)
SmTlBi2 after structural relaxation, computed with PBE.

a b c (Å): 4.2957 4.2957 6.7540
angles (deg): 90.00 90.00 90.00
Last column: nearest neighbours and their distance in Å.
Sites, in units of the cell vectors:
Sm1 0.0000 0.0000 0.0000  2 Tl 3.38, 8 Bi 3.42
Tl1 0.0000 0.0000 0.5000  2 Sm 3.38, 8 Bi 3.53
Bi1 0.5000 0.5000 0.2337  1 Bi 3.16, 4 Sm 3.42, 4 Tl 3.53
Bi2 0.5000 0.5000 0.7663  1 Bi 3.16, 4 Sm 3.42, 4 Tl 3.53

Computed properties:
ΔH_f (0 K) in kJ/mol of formula units: -166
Distance to the lowest polymorph of the same formula in eV/atom: 0.000
Density of states at the Fermi level in states/eV/cell: 3.60